# 1
Density functional theory data (PBEsol) for a relaxed CeSe2 crystal.

It has space group Fm-3m (No. 225), with a = 6.7866 Å, b = 6.7866 Å, c = 6.7866 Å, α = 90.00°, β = 90.00° and γ = 90.00°. The inequivalent atoms are Ce at (0.0000, 0.0000, 0.0000) and Se at (0.2500, 0.2500, 0.2500).

The formation energy (no corrections) is -1.558 eV per atom. The calculation puts the total energy at -75.9 eV/cell.

# 2
Density functional theory data (PBEsol) for a relaxed CeSe2 crystal.

It has space group Pbcm (No. 57), with a = 7.0359 Å, b = 7.7089 Å, c = 5.5788 Å, α = 90.00°, β = 90.00° and γ = 90.00°. The inequivalent atoms are Ce at (0.2467, 0.0534, 0.2500), Se at (0.0693, 0.7500, 0.0000) and Se at (0.3764, 0.0923, 0.7500).

The formation energy (no corrections) is -1.611 eV per atom. The calculation puts the total energy at -76.5 eV/cell.

# 3
Density functional theory data (PBEsol) for a relaxed CeSe2 crystal.

It has space group P6_3/mmc (No. 194), with a = 4.2267 Å, b = 4.2267 Å, c = 12.7776 Å, α = 90.00°, β = 90.00° and γ = 120.00°. The inequivalent atoms are Ce at (0.0000, 0.0000, 0.0000) and Se at (0.3333, 0.6667, 0.1124).

The formation energy (no corrections) is -1.440 eV per atom. The calculation puts the total energy at -37.2 eV/cell.

# 4
Density functional theory data (PBEsol) for a relaxed CeSe2 crystal.

It has space group P-62m (No. 189), with a = 7.6114 Å, b = 7.6114 Å, c = 4.1619 Å, α = 90.00°, β = 90.00° and γ = 120.00°. The inequivalent atoms are Ce at (0.0000, 0.0000, 0.0000), Ce at (0.3333, 0.6667, 0.5000), Se at (0.0000, 0.4057, 0.0000) and Se at (0.0000, 0.7410, 0.5000).

The formation energy (no corrections) is -1.590 eV per atom. The calculation puts the total energy at -57.2 eV/cell.